Here is a geometry-optimized HoBe2CuPt5 structure from the Alexandria database. Energies are from PBE.

Structure (POSCAR):
```
HoBe2CuPt5
1.0
4.350 0.000 0.000
0.000 4.350 0.000
0.000 0.000 7.104
Ho Pt Be Cu
1 5 2 1
Cartesian
0.000 0.000 3.552 Ho
2.175 0.000 1.543 Pt
0.000 2.175 5.561 Pt
0.000 2.175 1.543 Pt
2.175 2.175 3.552 Pt
2.175 0.000 5.561 Pt
2.175 2.175 5.985 Be
2.175 2.175 1.119 Be
0.000 0.000 0.000 Cu
```

Results
The formation energy from the elements is -0.592 eV per atom. The density is 15.10 Mg/m³. As for the total magnetic moment: 0.0 μB/f.u. The crystal system is tetragonal.